(1)
{"formula": "LuAlCu2", "functional": "PBE", "state": "relaxed", "lattice_angstrom": [[0.000, 3.183, 3.183], [3.183, 0.000, 3.183], [3.183, 3.183, 0.000]], "species": ["Lu", "Cu", "Cu", "Al"], "frac_coords": [[0.250, 0.250, 0.250], [0.750, 0.750, 0.750], [0.000, 0.000, 0.000], [0.500, 0.500, 0.500]], "spacegroup": "No. 216"}

---

(2)
{"formula": "LuAlCu", "functional": "PBE", "state": "relaxed", "lattice_angstrom": [[-4.023, -0.135, 1.977], [-3.697, 0.889, -2.377], [-2.876, -3.296, -0.990]], "species": ["Lu", "Cu", "Al"], "frac_coords": [[0.750, 0.750, 0.750], [0.250, 0.250, 0.250], [0.000, 0.000, 0.000]], "spacegroup": "No. 216"}

---

(3)
{"formula": "Lu2AlCu", "functional": "PBE", "state": "relaxed", "lattice_angstrom": [[0.000, 3.458, 3.458], [3.458, 0.000, 3.458], [3.458, 3.458, 0.000]], "species": ["Lu", "Lu", "Al", "Cu"], "frac_coords": [[0.750, 0.750, 0.750], [0.000, 0.000, 0.000], [0.500, 0.500, 0.500], [0.250, 0.250, 0.250]], "spacegroup": "No. 216"}

---

(4)
{"formula": "LuMgAlCu", "functional": "PBE", "state": "relaxed", "lattice_angstrom": [[0.000, 3.331, 3.331], [3.331, 0.000, 3.331], [3.331, 3.331, 0.000]], "species": ["Cu", "Al", "Mg", "Lu"], "frac_coords": [[0.750, 0.750, 0.750], [0.000, 0.000, 0.000], [0.500, 0.500, 0.500], [0.250, 0.250, 0.250]], "spacegroup": "No. 216", "de_polymorph_mev_per_atom": 96.8}

---

(5)
{"formula": "LuMgAlCu", "functional": "PBE", "state": "relaxed", "lattice_angstrom": [[3.754, 1.706, 2.222], [-0.473, 1.971, 4.223], [1.663, -2.176, 3.800]], "species": ["Mg", "Cu", "Al", "Lu"], "frac_coords": [[0.250, 0.250, 0.250], [0.750, 0.750, 0.750], [0.000, 0.000, 0.000], [0.500, 0.500, 0.500]], "spacegroup": "No. 216", "de_polymorph_mev_per_atom": 0.0}

---

(6)
{"formula": "Lu4AlCuN2", "functional": "PBE", "state": "relaxed", "lattice_angstrom": [[-0.458, -1.813, -2.817], [2.981, -0.076, 1.593], [-4.521, -11.181, 7.930]], "species": ["Lu", "Lu", "Lu", "Lu", "N", "N", "Al", "Cu"], "frac_coords": [[0.667, 0.333, 0.829], [0.000, 0.000, 0.644], [0.667, 0.333, 0.171], [0.000, 0.000, 0.356], [0.333, 0.667, 0.743], [0.333, 0.667, 0.257], [0.000, 0.000, 0.000], [0.667, 0.333, 0.500]], "spacegroup": "No. 187"}

---

(7)
{"formula": "LuNbAlCu", "functional": "PBE", "state": "relaxed", "lattice_angstrom": [[0.000, 3.318, 3.318], [3.318, 0.000, 3.318], [3.318, 3.318, 0.000]], "species": ["Lu", "Nb", "Cu", "Al"], "frac_coords": [[0.500, 0.500, 0.500], [0.250, 0.250, 0.250], [0.750, 0.750, 0.750], [0.000, 0.000, 0.000]], "spacegroup": "No. 216", "de_polymorph_mev_per_atom": 0.0}

---

(8)
{"formula": "Lu2Al4CuNi", "functional": "PBE", "state": "relaxed", "lattice_angstrom": [[-1.079, 4.757, 4.983], [6.371, 0.982, 0.442], [4.281, 3.929, -2.824]], "species": ["Ni", "Cu", "Al", "Al", "Al", "Al", "Lu", "Lu"], "frac_coords": [[0.000, 0.105, 0.105], [0.000, 0.918, 0.918], [0.683, 0.173, 0.173], [0.317, 0.173, 0.173], [0.685, 0.823, 0.823], [0.315, 0.823, 0.823], [0.000, 0.646, 0.646], [0.000, 0.340, 0.340]], "spacegroup": "No. 38"}

---

Computed values of VASP energy (unit: eV per atom) for the preceding records, in sequence: -4.070; -3.849; -4.062; -3.438; -3.535; -6.218; -5.333; -3.986.